Material: BaCaAs2
Method: DFT, PBE-GGA
State: optimized geometry

a = 7.7086 Å, b = 7.7086 Å, c = 7.7086 Å
α = 90.00°, β = 90.00°, γ = 90.00°
Last column: nearest neighbours and their distance in Å.
Element x y z (fractional)
Ba (0.0000, 0.0000, 0.0000)  8 As 3.34
Ba (0.0000, 0.5000, 0.5000)  8 As 3.34
Ba (0.5000, 0.0000, 0.5000)  8 As 3.34
Ba (0.5000, 0.5000, 0.0000)  8 As 3.34
Ca (0.0000, 0.0000, 0.5000)  8 As 3.34
Ca (0.0000, 0.5000, 0.0000)  8 As 3.34
Ca (0.5000, 0.0000, 0.0000)  8 As 3.34
Ca (0.5000, 0.5000, 0.5000)  8 As 3.34
As (0.2500, 0.2500, 0.2500)  4 Ba 3.34, 4 Ca 3.34
As (0.2500, 0.2500, 0.7500)  4 Ba 3.34, 4 Ca 3.34
As (0.2500, 0.7500, 0.2500)  4 Ba 3.34, 4 Ca 3.34
As (0.2500, 0.7500, 0.7500)  4 Ba 3.34, 4 Ca 3.34
As (0.7500, 0.2500, 0.2500)  4 Ba 3.34, 4 Ca 3.34
As (0.7500, 0.2500, 0.7500)  4 Ba 3.34, 4 Ca 3.34
As (0.7500, 0.7500, 0.2500)  4 Ba 3.34, 4 Ca 3.34
As (0.7500, 0.7500, 0.7500)  4 Ba 3.34, 4 Ca 3.34

Crystal system: cubic

Material: BaCaAs2
Method: DFT, PBE-GGA
State: optimized geometry

a = 5.6081 Å, b = 5.6081 Å, c = 18.6695 Å
α = 90.00°, β = 90.00°, γ = 90.00°
Last column: nearest neighbours and their distance in Å.
Element x y z (fractional)
Ba (0.0000, 0.0000, 0.0000)  4 As 3.59, 4 Ca 3.97
Ba (0.0000, 0.5000, 0.2500)  4 As 3.59, 4 Ca 3.97
Ba (0.5000, 0.0000, 0.7500)  4 As 3.59, 4 Ca 3.97
Ba (0.5000, 0.5000, 0.5000)  4 As 3.59, 4 Ca 3.97
Ca (0.0000, 0.0000, 0.5000)  4 As 2.76
Ca (0.0000, 0.5000, 0.7500)  4 As 2.76
Ca (0.5000, 0.0000, 0.2500)  4 As 2.76
Ca (0.5000, 0.5000, 0.0000)  4 As 2.76
As (0.0815, 0.2500, 0.6250)  2 Ca 2.76, 2 As 2.95
As (0.2500, 0.5815, 0.8750)  2 Ca 2.76, 2 As 2.95
As (0.2500, 0.9185, 0.3750)  2 Ca 2.76, 2 As 2.95
As (0.4185, 0.2500, 0.1250)  2 Ca 2.76, 2 As 2.95
As (0.5815, 0.7500, 0.1250)  2 Ca 2.76, 2 As 2.95
As (0.7500, 0.0815, 0.3750)  2 Ca 2.76, 2 As 2.95
As (0.7500, 0.4185, 0.8750)  2 Ca 2.76, 2 As 2.95
As (0.9185, 0.7500, 0.6250)  2 Ca 2.76, 2 As 2.95

Crystal system: tetragonal

| no. | E_form (kJ/mol of atoms) | density of states at the Fermi level (states/eV/f.u.) | spin magnetization (μB per formula unit) |
| --- | --- | --- | --- |
| 1 | -73.6 | 4.6 | 0.0 |
| 2 | -61.0 | 1.1 | 0.0 |